Compound: Tl3Ag
Source: the Alexandria database
Functional: PBE
Structure: optimized geometry

## Properties
The total energy comes out at -9.58 eV per cell. The formation enthalpy at 0 K is 0.092 eV/atom. Its symmetry is No. 44. The energy above the most stable polymorph in this dataset is 22 meV/atom.

```
Tl3Ag
1.0
6.424 0.006 0.010
2.793 5.785 -0.010
-3.715 -4.317 2.971
Tl Ag
3 1
Cartesian
4.750 2.671 0.155
4.337 -1.150 1.921
1.947 1.379 1.911
2.689 -4.280 2.959
```